1.
Computed, not measured: Sc4CdRh3 after structural relaxation at the GGA-PBE level of DFT.

Cell and atoms, written as POSCAR:
```
Sc4CdRh3
1.0
4.5869 0.0000 0.0000
0.0000 6.8555 0.0000
0.0000 0.0000 9.1747
Sc Rh Cd
8 6 2
Direct
0.0002 0.7639 0.2500
0.5000 0.7639 0.0000
0.5000 0.2361 0.5000
0.0002 0.2361 0.2500
0.5000 0.7639 0.5000
0.9998 0.2361 0.7500
0.5000 0.2361 0.0000
0.9998 0.7639 0.7500
0.4997 0.0000 0.7500
0.5003 0.0000 0.2500
0.4999 0.5000 0.2500
0.0000 0.0000 0.5000
0.0000 0.0000 0.0000
0.5001 0.5000 0.7500
0.0000 0.5000 0.0000
0.0000 0.5000 0.5000
```

Computed properties:
Crystal system ... tetragonal
Electronic total energy ... -6.814 eV per atom
Symmetry ... No. 123

2.
Computed, not measured: Sc6Cd2Rh after structural relaxation at the GGA-PBE level of DFT.

Cell and atoms, written as POSCAR:
```
Sc6Cd2Rh
1.0
-2.3818 2.2364 -1.1796
4.3866 1.0671 -6.8339
-5.6856 -5.8753 0.3412
Sc Cd Rh
6 2 1
Direct
0.0000 0.7517 0.7520
0.0000 0.9997 0.2480
0.5000 0.9998 0.6113
0.5000 0.6112 0.0000
0.5000 0.3884 0.3887
0.0000 0.2488 0.0000
0.0000 0.6665 0.3334
0.0000 0.3331 0.6666
0.5000 0.0008 0.0000
```

Computed properties:
Crystal system ... orthorhombic
Electronic total energy ... -5.573 eV per atom
Symmetry ... No. 38

3.
Computed, not measured: ScCd2Rh2 after structural relaxation at the GGA-PBE level of DFT.

Cell and atoms, written as POSCAR:
```
ScCd2Rh2
1.0
7.6073 0.0000 0.0000
0.0000 7.6073 0.0000
0.0000 0.0000 3.1690
Rh Cd Sc
4 4 2
Direct
0.8276 0.3276 0.5000
0.6724 0.8276 0.5000
0.1724 0.6724 0.5000
0.3276 0.1724 0.5000
0.6279 0.1279 0.0000
0.1279 0.3721 0.0000
0.8721 0.6279 0.0000
0.3721 0.8721 0.0000
0.0000 0.0000 0.0000
0.5000 0.5000 0.0000
```

Computed properties:
Offset from the most stable computed form ... 67 kJ/mol of formula units
Crystal system ... tetragonal
Symmetry ... No. 127

The calculation returns the following M_tot values, one per record and in order: 0.0 1.4 0.0 μB/cell.